# 1
{
  "formula": "VHgNO2",
  "functional": "GGA+U",
  "state": "relaxed",
  "lattice_angstrom": [[-0.261, 1.687, 3.865], [1.010, -3.735, 1.698], [4.024, 1.011, -0.169]],
  "species": ["N", "Hg", "O", "O", "V"],
  "fractional_positions": [[0.000, 0.000, 0.500], [0.000, 0.000, 0.000], [0.000, 0.500, 0.000], [0.500, 0.000, 0.000], [0.500, 0.500, 0.500]],
  "energy_ev_per_cell": -20.66,
  "sg": "No. 123"
}


# 2
{
  "formula": "VHgNO2",
  "functional": "GGA+U",
  "state": "relaxed",
  "lattice_angstrom": [[-3.687, -0.444, -0.072], [0.254, -2.542, 2.696], [-0.426, 3.058, 2.922]],
  "species": ["N", "Hg", "O", "O", "V"],
  "fractional_positions": [[0.000, 0.000, 0.500], [0.500, 0.500, 0.500], [0.000, 0.500, 0.000], [0.500, 0.000, 0.000], [0.000, 0.000, 0.000]],
  "energy_ev_per_cell": -27.81,
  "sg": "No. 123"
}


# 3
{
  "formula": "HgWNO2",
  "functional": "GGA+U",
  "state": "relaxed",
  "lattice_angstrom": [[3.946, 0.000, 0.000], [0.000, 4.168, 0.000], [0.000, 0.000, 3.946]],
  "species": ["O", "O", "Hg", "W", "N"],
  "fractional_positions": [[0.000, 0.000, 0.500], [0.500, 0.000, 0.000], [0.500, 0.500, 0.500], [0.000, 0.000, 0.000], [0.000, 0.500, 0.000]],
  "energy_ev_per_cell": -28.66,
  "sg": "No. 123"
}


# 4
{
  "formula": "HgWNO2",
  "functional": "GGA+U",
  "state": "relaxed",
  "lattice_angstrom": [[-2.533, -3.024, -0.937], [2.054, -0.657, -3.434], [2.604, -2.831, 2.100]],
  "species": ["O", "O", "Hg", "W", "N"],
  "fractional_positions": [[0.000, 0.500, 0.000], [0.500, 0.000, 0.000], [0.000, 0.000, 0.000], [0.500, 0.500, 0.500], [0.000, 0.000, 0.500]],
  "energy_ev_per_cell": -19.51,
  "sg": "No. 123"
}


# 5
{
  "formula": "HgWN2O",
  "functional": "GGA+U",
  "state": "relaxed",
  "lattice_angstrom": [[4.072, 0.000, 0.000], [0.000, 4.072, 0.000], [0.000, 0.000, 3.921]],
  "species": ["O", "Hg", "W", "N", "N"],
  "fractional_positions": [[0.000, 0.000, 0.500], [0.500, 0.500, 0.500], [0.000, 0.000, 0.000], [0.000, 0.500, 0.000], [0.500, 0.000, 0.000]],
  "energy_ev_per_cell": -28.60,
  "sg": "No. 123"
}


# 6
{
  "formula": "HgWN2O",
  "functional": "GGA+U",
  "state": "relaxed",
  "lattice_angstrom": [[-0.517, -0.131, -4.151], [-4.143, -0.271, 0.525], [-0.283, 4.134, -0.095]],
  "species": ["O", "Hg", "W", "N", "N"],
  "fractional_positions": [[0.000, 0.000, 0.500], [0.000, 0.000, 0.000], [0.500, 0.500, 0.500], [0.000, 0.500, 0.000], [0.500, 0.000, 0.000]],
  "energy_ev_per_cell": -18.85,
  "sg": "No. 123"
}